# 1
Computed, not measured: a relaxed Ti2V3Mo4 crystal at the PBE-GGA level of DFT.

```
9
Lattice="4.4432 0.0000 0.0000 -2.2216 3.8479 0.0000 0.0000 0.0000 7.9319" Properties=species:S:1:pos:R:3 pbc="T T T"
Ti 0.0000 2.5653 2.2067
Ti 2.2216 1.2826 5.7252
V 0.0000 0.0000 3.9659
V 0.0000 2.5653 7.3973
V 2.2216 1.2826 0.5346
Mo 0.0000 0.0000 1.2758
Mo 0.0000 0.0000 6.6560
Mo 0.0000 2.5653 4.8547
Mo 2.2216 1.2826 3.0772
```

**Final energy**: -9.70 eV per atom
**E_form**: -0.825 eV per formula unit
**Fermi-level density of states**: 11.8 states/eV/cell

---

# 2
Computed, not measured: a relaxed Ti6VMo2 crystal at the PBE-GGA level of DFT.

```
9
Lattice="2.5371 -7.0046 0.0000 2.5371 7.0046 0.0000 -1.8494 0.0000 4.1209" Properties=species:S:1:pos:R:3 pbc="T T T"
Ti 0.3161 2.2312 1.3971
Ti -0.6011 0.0000 3.4584
Ti 0.3161 -2.2312 1.3971
Ti 2.9088 2.2312 2.7238
Ti 3.8259 0.0000 0.6625
Ti 2.9088 -2.2312 2.7238
V 1.6124 0.0000 2.0604
Mo 2.5371 2.3736 0.0000
Mo 2.5371 -2.3736 0.0000
```

**Final energy**: -8.64 eV per atom
**E_form**: 0.352 eV per formula unit
**Fermi-level density of states**: 13.7 states/eV/cell